# 1
## LiCoCuB (GGA-PBE)

Data for a relaxed structure of LiCoCuB.

Lattice parameters (Å, degrees): 3.7014 3.7014 3.7014 60.00 60.00 60.00
Fractional coordinates of all 4 atoms:
1 Co 0.7500 0.7500 0.7500
2 Cu 0.2500 0.2500 0.2500
3 Li 0.5000 0.5000 0.5000
4 B 0.0000 0.0000 0.0000

Mass density = 6.5 g cm⁻³
ΔE to the lowest computed polymorph = 0.00 eV/f.u.



# 2
## LuCoCuB (GGA-PBE)

Data for a relaxed structure of LuCoCuB.

Lattice parameters (Å, degrees): 4.1699 4.1699 4.1699 60.00 60.00 60.00
Fractional coordinates of all 4 atoms:
1 Lu 0.5000 0.5000 0.5000
2 B 0.0000 0.0000 0.0000
3 Cu 0.2500 0.2500 0.2500
4 Co 0.7500 0.7500 0.7500

Mass density = 10.0 g cm⁻³
ΔE to the lowest computed polymorph = 0.52 eV/f.u.



# 3
## LuCoCuB (GGA-PBE)

Data for a relaxed structure of LuCoCuB.

Lattice parameters (Å, degrees): 4.2046 4.2046 4.2046 60.00 60.00 60.00
Site moments in Bohr magnetons follow the coordinates.
Fractional coordinates of all 4 atoms:
1 B 0.0000 0.0000 0.0000  0.01
2 Cu 0.5000 0.5000 0.5000  0.04
3 Lu 0.2500 0.2500 0.2500  0.00
4 Co 0.7500 0.7500 0.7500  1.03

Mass density = 9.7 g cm⁻³
ΔE to the lowest computed polymorph = 0.00 eV/f.u.



# 4
## MgCoCuB (GGA-PBE)

Data for a relaxed structure of MgCoCuB.

Lattice parameters (Å, degrees): 3.9665 3.9665 3.9665 60.00 60.00 60.00
Fractional coordinates of all 4 atoms:
1 B 0.0000 0.0000 0.0000
2 Co 0.7500 0.7500 0.7500
3 Cu 0.5000 0.5000 0.5000
4 Mg 0.2500 0.2500 0.2500

Mass density = 5.9 g cm⁻³
ΔE to the lowest computed polymorph = 0.00 eV/f.u.